Entry i
Entry from the Alexandria database: a PBEsol-optimized structure of HgRhPb (meta-GGA SCAN).

Results
The density of states at the Fermi level is 0.7590 states/eV/atom. As for the crystal system: trigonal. As for the magnetic moment: 0.00 μB per formula unit.

abc: 3.279 3.279 6.710
angles: 90.00 90.00 120.00
Atoms (fractional coordinates):
1 Hg 0.000 0.000 0.000
2 Rh 0.667 0.333 0.304
3 Pb 0.333 0.667 0.598

---

Entry ii
Entry from the Alexandria database: a PBEsol-optimized structure of HgRhPb (meta-GGA SCAN).

Results
The density of states at the Fermi level is 0.7003 states/eV/atom. As for the crystal system: cubic. As for the magnetic moment: 0.00 μB per formula unit.

abc: 4.530 4.530 4.530
angles: 60.00 60.00 60.00
Atoms (fractional coordinates):
1 Hg 0.000 0.000 0.000
2 Rh 0.250 0.250 0.250
3 Pb 0.500 0.500 0.500

---

Entry iii
Entry from the Alexandria database: a PBEsol-optimized structure of HgRhPb (meta-GGA SCAN).

Results
The density of states at the Fermi level is 0.4295 states/eV/atom. As for the crystal system: tetragonal. As for the magnetic moment: 0.00 μB per formula unit.

abc: 6.424 6.424 6.424
angles: 151.15 151.15 41.25
Atoms (fractional coordinates):
1 Hg 0.000 0.000 0.000
2 Rh 0.360 0.360 0.000
3 Pb 0.717 0.717 0.000

---

So which one is most stable? That would be entry ii, about 44 meV/atom below the next structure.